# CoNiBr4 (PBE-GGA, relaxed)
# * energy relative to the elements, uncorrected: -281 meV/atom
# * volume: 589.8 Å³/cell
# * size of the total moment: 0.8429 μB/atom
data_CoNiBr4
_symmetry_space_group_name_H-M 'I m m a'
_symmetry_Int_Tables_number 74
_symmetry_space_group_name_Hall '-I 2b 2'
_cell_length_a 7.3938
_cell_length_b 7.4672
_cell_length_c 10.6828
_cell_angle_alpha 90.00
_cell_angle_beta 90.00
_cell_angle_gamma 90.00
loop_
_atom_site_label
_atom_site_type_symbol
_atom_site_fract_x
_atom_site_fract_y
_atom_site_fract_z
Co1 Co 0.2500 0.2500 0.2500
Ni1 Ni 0.0000 0.0000 0.0000
Br1 Br 0.0000 0.0102 0.2403
Br2 Br 0.2361 0.2500 0.0080

***

# CoNi4Br (PBE-GGA, relaxed)
# * energy relative to the elements, uncorrected: 618 meV/atom
# * volume: 312.9 Å³/cell
# * size of the total moment: 0.6715 μB/atom
data_CoNi4Br
_symmetry_space_group_name_H-M 'F -4 3 m'
_symmetry_Int_Tables_number 216
_symmetry_space_group_name_Hall 'F -4 2 3'
_cell_length_a 6.7888
_cell_length_b 6.7888
_cell_length_c 6.7888
_cell_angle_alpha 90.00
_cell_angle_beta 90.00
_cell_angle_gamma 90.00
loop_
_atom_site_label
_atom_site_type_symbol
_atom_site_fract_x
_atom_site_fract_y
_atom_site_fract_z
Co1 Co 0.0000 0.0000 0.0000
Ni1 Ni 0.1259 0.1259 0.6259
Br1 Br 0.2500 0.2500 0.2500

***

# CoNiBr4 (PBE-GGA, relaxed)
# * energy relative to the elements, uncorrected: 1405 meV/atom
# * volume: 660.3 Å³/cell
# * size of the total moment: 0.2224 μB/atom
data_CoNiBr4
_symmetry_space_group_name_H-M 'F -4 3 m'
_symmetry_Int_Tables_number 216
_symmetry_space_group_name_Hall 'F -4 2 3'
_cell_length_a 8.7078
_cell_length_b 8.7078
_cell_length_c 8.7078
_cell_angle_alpha 90.00
_cell_angle_beta 90.00
_cell_angle_gamma 90.00
loop_
_atom_site_label
_atom_site_type_symbol
_atom_site_fract_x
_atom_site_fract_y
_atom_site_fract_z
Co1 Co 0.0000 0.0000 0.0000
Ni1 Ni 0.2500 0.2500 0.7500
Br1 Br 0.1253 0.1253 0.3747

***

# CoNi3Br (PBE-GGA, relaxed)
# * energy relative to the elements, uncorrected: 1147 meV/atom
# * volume: 80.2 Å³/cell
# * excess energy over the best structure of this formula in the dataset: 0.125 eV per atom
# * size of the total moment: 0.4087 μB/atom
data_CoNi3Br
_symmetry_space_group_name_H-M 'P m -3 m'
_symmetry_Int_Tables_number 221
_symmetry_space_group_name_Hall '-P 4 2 3'
_cell_length_a 4.3117
_cell_length_b 4.3117
_cell_length_c 4.3117
_cell_angle_alpha 90.00
_cell_angle_beta 90.00
_cell_angle_gamma 90.00
loop_
_atom_site_label
_atom_site_type_symbol
_atom_site_fract_x
_atom_site_fract_y
_atom_site_fract_z
Co1 Co 0.0000 0.0000 0.0000
Ni1 Ni 0.0000 0.5000 0.5000
Br1 Br 0.5000 0.5000 0.5000

***

# Co3NiBr (PBE-GGA, relaxed)
# * energy relative to the elements, uncorrected: 1161 meV/atom
# * volume: 85.4 Å³/cell
# * excess energy over the best structure of this formula in the dataset: 0.000 eV per atom
# * size of the total moment: 1.2923 μB/atom
data_Co3NiBr
_symmetry_space_group_name_H-M 'P m -3 m'
_symmetry_Int_Tables_number 221
_symmetry_space_group_name_Hall '-P 4 2 3'
_cell_length_a 4.4031
_cell_length_b 4.4031
_cell_length_c 4.4031
_cell_angle_alpha 90.00
_cell_angle_beta 90.00
_cell_angle_gamma 90.00
loop_
_atom_site_label
_atom_site_type_symbol
_atom_site_fract_x
_atom_site_fract_y
_atom_site_fract_z
Co1 Co 0.0000 0.0000 0.5000
Ni1 Ni 0.0000 0.0000 0.0000
Br1 Br 0.5000 0.5000 0.5000